(1)
K2Cd4Sn3Pb | PBE | relaxed

Cell: 4.856 4.856 12.916 Å, 90.00 90.00 90.00°
Atoms (fractional coordinates):
K: 0.000 0.500 0.243
K: 0.500 0.000 0.757
Cd: 0.000 0.000 0.000
Cd: 0.000 0.500 0.648
Cd: 0.500 0.000 0.352
Cd: 0.500 0.500 0.000
Sn: 0.000 0.500 0.867
Sn: 0.500 0.000 0.133
Sn: 0.500 0.500 0.500
Pb: 0.000 0.000 0.500

formation energy from the elements	-0.142	eV/atom
space group	No. 115

---

(2)
FeNiIr2 | PBE | relaxed

Cell: 4.239 4.239 4.239 Å, 60.00 60.00 60.00°
Atoms (fractional coordinates):
Fe: 0.000 0.000 0.000
Ni: 0.750 0.750 0.750
Ir: 0.250 0.250 0.250
Ir: 0.500 0.500 0.500

formation energy from the elements	0.228	eV/atom
distance to the lowest polymorph of the same formula	25.9	kJ per mole of atoms
space group	No. 216

---

(3)
VCu2S3 | PBE | relaxed

Cell: 6.268 6.268 6.268 Å, 148.02 135.04 56.23°
Atoms (fractional coordinates):
V: 0.000 0.000 0.000
Cu: 0.342 0.342 0.000
Cu: 0.658 0.658 0.000
S: 0.159 0.659 0.500
S: 0.500 0.000 0.500
S: 0.841 0.341 0.500

formation energy (no corrections)	-0.33	eV per atom
space group	No. 71

---

(4)
Tb2NdMn | PBE | relaxed

Cell: 3.539 3.539 8.956 Å, 90.00 90.00 90.00°
Atoms (fractional coordinates):
Tb: 0.000 0.000 0.194
Tb: 0.000 0.000 0.806
Nd: 0.500 0.500 0.500
Mn: 0.500 0.500 0.000

formation energy from the elements	0.130	eV/atom
distance to the lowest polymorph of the same formula	0.0	kJ per mole of atoms
space group	No. 123

---

(5)
CaZn5 | PBE | relaxed

Cell: 6.208 6.208 4.363 Å, 90.00 90.00 139.37°
Atoms (fractional coordinates):
Ca: 0.000 0.000 0.000
Zn: 0.177 0.823 0.500
Zn: 0.316 0.684 0.000
Zn: 0.500 0.500 0.500
Zn: 0.684 0.316 0.000
Zn: 0.823 0.177 0.500

formation energy from the elements	-0.066	eV/atom
space group	No. 65

---

(6)
LaLuAlAu | PBE | relaxed

Cell: 5.226 5.226 5.226 Å, 60.00 60.00 60.00°
Atoms (fractional coordinates):
La: 0.000 0.000 0.000
Lu: 0.500 0.500 0.500
Al: 0.750 0.750 0.750
Au: 0.250 0.250 0.250

formation energy from the elements	-0.518	eV/atom
space group	No. 216

---

(7)
NdDyC | PBE | relaxed

Cell: 6.753 6.753 6.302 Å, 98.17 98.17 31.22°
Atoms (fractional coordinates):
Nd: 0.113 0.113 0.368
Nd: 0.887 0.887 0.632
Dy: 0.398 0.398 0.136
Dy: 0.602 0.602 0.864
C: 0.000 0.000 0.000
C: 0.500 0.500 0.500

formation energy from the elements	-0.176	eV/atom
distance to the lowest polymorph of the same formula	0.0	kJ per mole of atoms
space group	No. 12

---

(8)
Mg2TaAu | PBE | relaxed

Cell: 6.046 6.046 6.046 Å, 102.45 102.45 124.66°
Atoms (fractional coordinates):
Mg: 0.094 0.625 0.969
Mg: 0.375 0.344 0.469
Mg: 0.656 0.125 0.031
Mg: 0.875 0.906 0.531
Ta: 0.250 0.750 0.500
Ta: 0.500 0.500 0.000
Au: 0.000 0.000 0.000
Au: 0.750 0.250 0.500

formation energy from the elements	0.428	eV/atom
distance to the lowest polymorph of the same formula	51.0	kJ per mole of atoms
space group	No. 122